1.
# La3Sm2Al3 PBE optimized geometry
data_La3Sm2Al3
_chemical_formula_sum 'La3 Sm2 Al3'
_symmetry_space_group_name_H-M 'P 1'
_symmetry_Int_Tables_number 1
_cell_length_a 3.3867
_cell_length_b 8.7413
_cell_length_c 8.7413
_cell_angle_alpha 120.00
_cell_angle_beta 90.00
_cell_angle_gamma 90.00
loop_
_symmetry_equiv_pos_as_xyz
'x,y,z'
loop_
_atom_site_label
_atom_site_type_symbol
_atom_site_fract_x
_atom_site_fract_y
_atom_site_fract_z
La1 La 0.0000 0.7479 0.7479
La2 La 0.0000 0.2521 0.0000
La3 La 0.0000 0.0000 0.2521
Sm1 Sm 0.0000 0.3333 0.6667
Sm2 Sm 0.0000 0.6667 0.3333
Al1 Al 0.5000 0.3862 0.3862
Al2 Al 0.5000 0.6138 0.0000
Al3 Al 0.5000 0.0000 0.6138
# **Final energy**: -37.38 eV for the cell shown
# **Space group**: P-62m
# **Total magnetization**: 0.00 μB/cell

---

2.
# TbPuCdIr PBE optimized geometry
data_TbPuCdIr
_chemical_formula_sum 'Tb1 Pu1 Cd1 Ir1'
_symmetry_space_group_name_H-M 'P 1'
_symmetry_Int_Tables_number 1
_cell_length_a 5.0605
_cell_length_b 5.0605
_cell_length_c 5.0605
_cell_angle_alpha 60.00
_cell_angle_beta 60.00
_cell_angle_gamma 60.00
loop_
_symmetry_equiv_pos_as_xyz
'x,y,z'
loop_
_atom_site_label
_atom_site_type_symbol
_atom_site_fract_x
_atom_site_fract_y
_atom_site_fract_z
Cd1 Cd 0.7500 0.7500 0.7500
Ir1 Ir 0.2500 0.2500 0.2500
Tb1 Tb 0.5000 0.5000 0.5000
Pu1 Pu 0.0000 0.0000 0.0000
# **Final energy**: -29.95 eV for the cell shown
# **Space group**: F-43m
# **Total magnetization**: 5.28 μB/cell

---

3.
# DyYHf PBE optimized geometry
data_DyYHf
_chemical_formula_sum 'Dy1 Y1 Hf1'
_symmetry_space_group_name_H-M 'P 1'
_symmetry_Int_Tables_number 1
_cell_length_a 3.3894
_cell_length_b 5.3410
_cell_length_c 5.3410
_cell_angle_alpha 120.00
_cell_angle_beta 90.00
_cell_angle_gamma 90.00
loop_
_symmetry_equiv_pos_as_xyz
'x,y,z'
loop_
_atom_site_label
_atom_site_type_symbol
_atom_site_fract_x
_atom_site_fract_y
_atom_site_fract_z
Y1 Y 0.1669 0.0000 0.0000
Hf1 Hf 0.1663 0.3333 0.6667
Dy1 Dy 0.6667 0.6667 0.3333
# **Final energy**: -20.38 eV for the cell shown
# **Space group**: P-6m2
# **Total magnetization**: 0.00 μB/cell
# **Energy relative to the lowest polymorph listed for this composition**: 91 meV per atom

---

4.
# BeRhSe2 PBE optimized geometry
data_BeRhSe2
_chemical_formula_sum 'Be1 Rh1 Se2'
_symmetry_space_group_name_H-M 'P 1'
_symmetry_Int_Tables_number 1
_cell_length_a 7.8003
_cell_length_b 7.8003
_cell_length_c 7.8003
_cell_angle_alpha 23.74
_cell_angle_beta 23.74
_cell_angle_gamma 23.74
loop_
_symmetry_equiv_pos_as_xyz
'x,y,z'
loop_
_atom_site_label
_atom_site_type_symbol
_atom_site_fract_x
_atom_site_fract_y
_atom_site_fract_z
Be1 Be 0.5000 0.5000 0.5000
Rh1 Rh 0.0000 0.0000 0.0000
Se1 Se 0.8955 0.8955 0.8955
Se2 Se 0.1045 0.1045 0.1045
# **Final energy**: -17.90 eV for the cell shown
# **Space group**: R-3m
# **Total magnetization**: 0.00 μB/cell
# **Uncorrected formation energy**: 3.5 kJ per mole of atoms

---

5.
# TlGaRe3 PBE optimized geometry
data_TlGaRe3
_chemical_formula_sum 'Tl1 Ga1 Re3'
_symmetry_space_group_name_H-M 'P 1'
_symmetry_Int_Tables_number 1
_cell_length_a 4.9577
_cell_length_b 4.9577
_cell_length_c 4.9577
_cell_angle_alpha 90.00
_cell_angle_beta 90.00
_cell_angle_gamma 90.00
loop_
_symmetry_equiv_pos_as_xyz
'x,y,z'
loop_
_atom_site_label
_atom_site_type_symbol
_atom_site_fract_x
_atom_site_fract_y
_atom_site_fract_z
Re1 Re 0.0000 0.5000 0.0000
Re2 Re 0.0000 0.0000 0.5000
Re3 Re 0.5000 0.0000 0.0000
Tl1 Tl 0.0000 0.0000 0.0000
Ga1 Ga 0.5000 0.5000 0.5000
# **Final energy**: -26.31 eV for the cell shown
# **Space group**: Pm-3m
# **Total magnetization**: 3.95 μB/cell
# **Energy relative to the lowest polymorph listed for this composition**: 1319 meV per atom

---

6.
# Re5Br PBE optimized geometry
data_Re5Br
_chemical_formula_sum 'Re5 Br1'
_symmetry_space_group_name_H-M 'P 1'
_symmetry_Int_Tables_number 1
_cell_length_a 4.8541
_cell_length_b 4.8541
_cell_length_c 4.5681
_cell_angle_alpha 90.00
_cell_angle_beta 90.00
_cell_angle_gamma 120.00
loop_
_symmetry_equiv_pos_as_xyz
'x,y,z'
loop_
_atom_site_label
_atom_site_type_symbol
_atom_site_fract_x
_atom_site_fract_y
_atom_site_fract_z
Re1 Re 0.6492 0.0000 0.0000
Re2 Re 0.3508 0.3508 0.0000
Re3 Re 0.0000 0.6492 0.0000
Re4 Re 0.6667 0.3333 0.5000
Re5 Re 0.3333 0.6667 0.5000
Br1 Br 0.0000 0.0000 0.5000
# **Final energy**: -59.15 eV for the cell shown
# **Space group**: P-62m
# **Total magnetization**: 0.00 μB/cell
# **Energy relative to the lowest polymorph listed for this composition**: 188 meV per atom
# **Uncorrected formation energy**: 76.6 kJ per mole of atoms

---

7.
# Y2MnRh PBE optimized geometry
data_Y2MnRh
_chemical_formula_sum 'Y2 Mn1 Rh1'
_symmetry_space_group_name_H-M 'P 1'
_symmetry_Int_Tables_number 1
_cell_length_a 6.9896
_cell_length_b 6.9896
_cell_length_c 6.9896
_cell_angle_alpha 34.61
_cell_angle_beta 34.61
_cell_angle_gamma 34.61
loop_
_symmetry_equiv_pos_as_xyz
'x,y,z'
loop_
_atom_site_label
_atom_site_type_symbol
_atom_site_fract_x
_atom_site_fract_y
_atom_site_fract_z
Mn1 Mn 0.4539 0.4539 0.4539
Rh1 Rh 0.7977 0.7977 0.7977
Y1 Y 0.0310 0.0310 0.0310
Y2 Y 0.2174 0.2174 0.2174
# **Final energy**: -30.35 eV for the cell shown
# **Space group**: R3m
# **Total magnetization**: 2.23 μB/cell

---

8.
# DyAl6Ni4 PBE optimized geometry
data_DyAl6Ni4
_chemical_formula_sum 'Dy1 Al6 Ni4'
_symmetry_space_group_name_H-M 'P 1'
_symmetry_Int_Tables_number 1
_cell_length_a 3.9200
_cell_length_b 6.9171
_cell_length_c 6.9171
_cell_angle_alpha 120.00
_cell_angle_beta 90.00
_cell_angle_gamma 90.00
loop_
_symmetry_equiv_pos_as_xyz
'x,y,z'
loop_
_atom_site_label
_atom_site_type_symbol
_atom_site_fract_x
_atom_site_fract_y
_atom_site_fract_z
Dy1 Dy 0.0000 0.0000 0.0000
Al1 Al 0.0000 0.5332 0.0663
Al2 Al 0.5000 0.6003 0.8002
Al3 Al 0.0000 0.5332 0.4668
Al4 Al 0.0000 0.9337 0.4668
Al5 Al 0.5000 0.1998 0.8002
Al6 Al 0.5000 0.1998 0.3997
Ni1 Ni 0.5000 0.7919 0.5839
Ni2 Ni 0.5000 0.4161 0.2081
Ni3 Ni 0.5000 0.7919 0.2081
Ni4 Ni 0.0000 0.3333 0.6667
# **Final energy**: -56.70 eV for the cell shown
# **Space group**: P-6m2
# **Total magnetization**: 0.00 μB/cell

---

9.
# LaYErIn PBE optimized geometry
data_LaYErIn
_chemical_formula_sum 'La1 Y1 Er1 In1'
_symmetry_space_group_name_H-M 'P 1'
_symmetry_Int_Tables_number 1
_cell_length_a 5.5422
_cell_length_b 5.5422
_cell_length_c 5.5422
_cell_angle_alpha 60.00
_cell_angle_beta 60.00
_cell_angle_gamma 60.00
loop_
_symmetry_equiv_pos_as_xyz
'x,y,z'
loop_
_atom_site_label
_atom_site_type_symbol
_atom_site_fract_x
_atom_site_fract_y
_atom_site_fract_z
Y1 Y 0.2500 0.2500 0.2500
La1 La 0.7500 0.7500 0.7500
In1 In 0.0000 0.0000 0.0000
Er1 Er 0.5000 0.5000 0.5000
# **Final energy**: -19.36 eV for the cell shown
# **Space group**: F-43m
# **Total magnetization**: 1.00 μB/cell
# **Energy relative to the lowest polymorph listed for this composition**: 0 meV per atom

---

10.
# Be2HgW PBE optimized geometry
data_Be2HgW
_chemical_formula_sum 'Be2 Hg1 W1'
_symmetry_space_group_name_H-M 'P 1'
_symmetry_Int_Tables_number 1
_cell_length_a 5.2156
_cell_length_b 5.2156
_cell_length_c 5.2156
_cell_angle_alpha 148.72
_cell_angle_beta 132.07
_cell_angle_gamma 58.35
loop_
_symmetry_equiv_pos_as_xyz
'x,y,z'
loop_
_atom_site_label
_atom_site_type_symbol
_atom_site_fract_x
_atom_site_fract_y
_atom_site_fract_z
Be1 Be 0.9809 0.9809 0.0000
Be2 Be 0.7635 0.2635 0.5000
Hg1 Hg 0.5178 0.5178 0.0000
W1 W 0.2378 0.7378 0.5000
# **Final energy**: -18.51 eV for the cell shown
# **Space group**: Imm2
# **Total magnetization**: 0.00 μB/cell

---

11.
# Cu2TcPb PBE optimized geometry
data_Cu2TcPb
_chemical_formula_sum 'Cu2 Tc1 Pb1'
_symmetry_space_group_name_H-M 'P 1'
_symmetry_Int_Tables_number 1
_cell_length_a 4.2031
_cell_length_b 2.8844
_cell_length_c 5.4960
_cell_angle_alpha 77.61
_cell_angle_beta 90.00
_cell_angle_gamma 90.00
loop_
_symmetry_equiv_pos_as_xyz
'x,y,z'
loop_
_atom_site_label
_atom_site_type_symbol
_atom_site_fract_x
_atom_site_fract_y
_atom_site_fract_z
Cu1 Cu 0.0000 0.1846 0.9883
Cu2 Cu 0.5000 0.0961 0.2254
Pb1 Pb 0.0000 0.4511 0.4882
Tc1 Tc 0.5000 0.7682 0.7980
# **Final energy**: -20.08 eV for the cell shown
# **Space group**: Pm
# **Total magnetization**: 0.00 μB/cell